# 1
Computed, not measured: crystalline Th2ZnSe at its relaxed geometry at the GGA-PBE level of DFT.

CIF file:
```
data_Th2ZnSe
_symmetry_space_group_name_H-M 'P 1'
_symmetry_Int_Tables_number 1
_cell_length_a 12.014
_cell_length_b 12.014
_cell_length_c 4.139
_cell_angle_alpha 90.00
_cell_angle_beta 90.00
_cell_angle_gamma 159.49
loop_
_symmetry_equiv_pos_as_xyz
'x,y,z'
loop_
_atom_site_label
_atom_site_type_symbol
_atom_site_fract_x
_atom_site_fract_y
_atom_site_fract_z
_atom_site_occupancy
Th1 Th 0.068 0.932 0.750 1
Th2 Th 0.323 0.677 0.750 1
Th3 Th 0.677 0.323 0.250 1
Th4 Th 0.932 0.068 0.250 1
Zn1 Zn 0.464 0.536 0.750 1
Zn2 Zn 0.536 0.464 0.250 1
Se1 Se 0.195 0.805 0.750 1
Se2 Se 0.805 0.195 0.250 1
```

Results
Calculated volume in Å³/atom: 26.17
Formation energy without anion corrections in eV per atom: -0.83
DOS(E_F) in states/eV per cell: 8.39
Total moment in μB per formula unit: 0.0


# 2
Computed, not measured: crystalline Th2ZnSe at its relaxed geometry at the GGA-PBE level of DFT.

CIF file:
```
data_Th2ZnSe
_symmetry_space_group_name_H-M 'P 1'
_symmetry_Int_Tables_number 1
_cell_length_a 8.805
_cell_length_b 8.805
_cell_length_c 8.805
_cell_angle_alpha 25.07
_cell_angle_beta 25.07
_cell_angle_gamma 25.07
loop_
_symmetry_equiv_pos_as_xyz
'x,y,z'
loop_
_atom_site_label
_atom_site_type_symbol
_atom_site_fract_x
_atom_site_fract_y
_atom_site_fract_z
_atom_site_occupancy
Th1 Th 0.000 0.000 0.000 1
Th2 Th 0.166 0.166 0.166 1
Zn1 Zn 0.583 0.583 0.583 1
Se1 Se 0.750 0.750 0.750 1
```

Results
Calculated volume in Å³/atom: 26.97
Formation energy without anion corrections in eV per atom: -0.72
DOS(E_F) in states/eV per cell: 1.45
Total moment in μB per formula unit: 0.0


# 3
Computed, not measured: crystalline Th2ZnSe at its relaxed geometry at the GGA-PBE level of DFT.

CIF file:
```
data_Th2ZnSe
_symmetry_space_group_name_H-M 'P 1'
_symmetry_Int_Tables_number 1
_cell_length_a 7.435
_cell_length_b 7.435
_cell_length_c 7.435
_cell_angle_alpha 33.18
_cell_angle_beta 33.18
_cell_angle_gamma 33.18
loop_
_symmetry_equiv_pos_as_xyz
'x,y,z'
loop_
_atom_site_label
_atom_site_type_symbol
_atom_site_fract_x
_atom_site_fract_y
_atom_site_fract_z
_atom_site_occupancy
Th1 Th 0.250 0.250 0.250 1
Th2 Th 0.750 0.750 0.750 1
Zn1 Zn 0.000 0.000 0.000 1
Se1 Se 0.500 0.500 0.500 1
```

Results
Calculated volume in Å³/atom: 27.40
Formation energy without anion corrections in eV per atom: -0.74
DOS(E_F) in states/eV per cell: 3.22
Total moment in μB per formula unit: 0.0


# 4
Computed, not measured: crystalline ThZrSe2 at its relaxed geometry at the GGA-PBE level of DFT.

CIF file:
```
data_ThZrSe2
_symmetry_space_group_name_H-M 'P 1'
_symmetry_Int_Tables_number 1
_cell_length_a 8.164
_cell_length_b 8.164
_cell_length_c 8.164
_cell_angle_alpha 26.13
_cell_angle_beta 26.13
_cell_angle_gamma 26.13
loop_
_symmetry_equiv_pos_as_xyz
'x,y,z'
loop_
_atom_site_label
_atom_site_type_symbol
_atom_site_fract_x
_atom_site_fract_y
_atom_site_fract_z
_atom_site_occupancy
Th1 Th 0.000 0.000 0.000 1
Zr1 Zr 0.834 0.834 0.834 1
Se1 Se 0.426 0.426 0.426 1
Se2 Se 0.575 0.575 0.575 1
```

Results
Calculated volume in Å³/atom: 23.24
Formation energy without anion corrections in eV per atom: -1.35
DOS(E_F) in states/eV per cell: 2.76
Total moment in μB per formula unit: 0.0


# 5
Computed, not measured: crystalline ThZrSe2 at its relaxed geometry at the GGA-PBE level of DFT.

CIF file:
```
data_ThZrSe2
_symmetry_space_group_name_H-M 'P 1'
_symmetry_Int_Tables_number 1
_cell_length_a 9.519
_cell_length_b 9.519
_cell_length_c 9.519
_cell_angle_alpha 22.41
_cell_angle_beta 22.41
_cell_angle_gamma 22.41
loop_
_symmetry_equiv_pos_as_xyz
'x,y,z'
loop_
_atom_site_label
_atom_site_type_symbol
_atom_site_fract_x
_atom_site_fract_y
_atom_site_fract_z
_atom_site_occupancy
Th1 Th 0.000 0.000 0.000 1
Zr1 Zr 0.500 0.500 0.500 1
Se1 Se 0.106 0.106 0.106 1
Se2 Se 0.894 0.894 0.894 1
```

Results
Calculated volume in Å³/atom: 27.48
Formation energy without anion corrections in eV per atom: -0.92
DOS(E_F) in states/eV per cell: 4.38
Total moment in μB per formula unit: 0.7


# 6
Computed, not measured: crystalline ThZr4Se8 at its relaxed geometry at the GGA-PBE level of DFT.

CIF file:
```
data_ThZr4Se8
_symmetry_space_group_name_H-M 'P 1'
_symmetry_Int_Tables_number 1
_cell_length_a 8.147
_cell_length_b 8.147
_cell_length_c 8.147
_cell_angle_alpha 55.50
_cell_angle_beta 55.50
_cell_angle_gamma 55.50
loop_
_symmetry_equiv_pos_as_xyz
'x,y,z'
loop_
_atom_site_label
_atom_site_type_symbol
_atom_site_fract_x
_atom_site_fract_y
_atom_site_fract_z
_atom_site_occupancy
Th1 Th 0.000 0.000 0.000 1
Zr1 Zr 0.000 0.000 0.500 1
Zr2 Zr 0.000 0.500 0.000 1
Zr3 Zr 0.500 0.000 0.000 1
Zr4 Zr 0.500 0.500 0.500 1
Se1 Se 0.244 0.244 0.244 1
Se2 Se 0.258 0.258 0.742 1
Se3 Se 0.258 0.742 0.258 1
Se4 Se 0.258 0.742 0.742 1
Se5 Se 0.742 0.258 0.258 1
Se6 Se 0.742 0.258 0.742 1
Se7 Se 0.742 0.742 0.258 1
Se8 Se 0.756 0.756 0.756 1
```

Results
Calculated volume in Å³/atom: 26.34
Formation energy without anion corrections in eV per atom: -1.45
DOS(E_F) in states/eV per cell: 6.35
Total moment in μB per formula unit: 0.0


# 7
Computed, not measured: crystalline ThZrSe4 at its relaxed geometry at the GGA-PBE level of DFT.

CIF file:
```
data_ThZrSe4
_symmetry_space_group_name_H-M 'P 1'
_symmetry_Int_Tables_number 1
_cell_length_a 8.012
_cell_length_b 6.366
_cell_length_c 7.888
_cell_angle_alpha 90.00
_cell_angle_beta 117.01
_cell_angle_gamma 90.00
loop_
_symmetry_equiv_pos_as_xyz
'x,y,z'
loop_
_atom_site_label
_atom_site_type_symbol
_atom_site_fract_x
_atom_site_fract_y
_atom_site_fract_z
_atom_site_occupancy
Th1 Th 0.000 0.000 0.000 1
Th2 Th 0.000 0.500 0.500 1
Zr1 Zr 0.500 0.000 0.500 1
Zr2 Zr 0.500 0.500 0.000 1
Se1 Se 0.193 0.233 0.348 1
Se2 Se 0.193 0.267 0.848 1
Se3 Se 0.347 0.742 0.685 1
Se4 Se 0.347 0.758 0.185 1
Se5 Se 0.653 0.242 0.815 1
Se6 Se 0.653 0.258 0.315 1
Se7 Se 0.807 0.733 0.152 1
Se8 Se 0.807 0.767 0.652 1
```

Results
Calculated volume in Å³/atom: 29.87
Formation energy without anion corrections in eV per atom: -1.39
Total moment in μB per formula unit: 0.0


# 8
Computed, not measured: crystalline TiSe at its relaxed geometry at the GGA-PBE level of DFT.

CIF file:
```
data_TiSe
_symmetry_space_group_name_H-M 'P 1'
_symmetry_Int_Tables_number 1
_cell_length_a 4.174
_cell_length_b 4.174
_cell_length_c 5.835
_cell_angle_alpha 90.00
_cell_angle_beta 90.00
_cell_angle_gamma 90.00
loop_
_symmetry_equiv_pos_as_xyz
'x,y,z'
loop_
_atom_site_label
_atom_site_type_symbol
_atom_site_fract_x
_atom_site_fract_y
_atom_site_fract_z
_atom_site_occupancy
Ti1 Ti 0.250 0.750 0.000 1
Ti2 Ti 0.750 0.250 0.000 1
Se1 Se 0.250 0.250 0.246 1
Se2 Se 0.750 0.750 0.754 1
```

Results
Calculated volume in Å³/atom: 25.41
Formation energy without anion corrections in eV per atom: -0.83
DOS(E_F) in states/eV per cell: 4.05
Total moment in μB per formula unit: 0.0


# 9
Computed, not measured: crystalline TiSe at its relaxed geometry at the GGA-PBE level of DFT.

CIF file:
```
data_TiSe
_symmetry_space_group_name_H-M 'P 1'
_symmetry_Int_Tables_number 1
_cell_length_a 3.420
_cell_length_b 3.420
_cell_length_c 6.814
_cell_angle_alpha 90.00
_cell_angle_beta 90.00
_cell_angle_gamma 120.00
loop_
_symmetry_equiv_pos_as_xyz
'x,y,z'
loop_
_atom_site_label
_atom_site_type_symbol
_atom_site_fract_x
_atom_site_fract_y
_atom_site_fract_z
_atom_site_occupancy
Ti1 Ti 0.000 0.000 0.000 1
Ti2 Ti 0.000 0.000 0.500 1
Se1 Se 0.333 0.667 0.250 1
Se2 Se 0.667 0.333 0.750 1
```

Results
Calculated volume in Å³/atom: 17.25
Formation energy without anion corrections in eV per atom: -1.09
DOS(E_F) in states/eV per cell: 2.77
Total moment in μB per formula unit: 0.0


# 10
Computed, not measured: crystalline Ti45Se16 at its relaxed geometry at the GGA-PBE level of DFT.

CIF file:
```
data_Ti45Se16
_symmetry_space_group_name_H-M 'P 1'
_symmetry_Int_Tables_number 1
_cell_length_a 17.850
_cell_length_b 17.850
_cell_length_c 16.484
_cell_angle_alpha 91.88
_cell_angle_beta 91.88
_cell_angle_gamma 11.10
loop_
_symmetry_equiv_pos_as_xyz
'x,y,z'
loop_
_atom_site_label
_atom_site_type_symbol
_atom_site_fract_x
_atom_site_fract_y
_atom_site_fract_z
_atom_site_occupancy
Ti1 Ti 0.000 0.000 0.000 1
Ti2 Ti 0.006 0.006 0.706 1
Ti3 Ti 0.036 0.036 0.545 1
Ti4 Ti 0.087 0.087 0.950 1
Ti5 Ti 0.089 0.089 0.375 1
Ti6 Ti 0.104 0.104 0.165 1
Ti7 Ti 0.133 0.133 0.567 1
Ti8 Ti 0.181 0.181 0.298 1
Ti9 Ti 0.186 0.186 0.751 1
Ti10 Ti 0.218 0.218 0.484 1
Ti11 Ti 0.220 0.220 0.016 1
Ti12 Ti 0.261 0.261 0.635 1
Ti13 Ti 0.272 0.272 0.842 1
Ti14 Ti 0.290 0.290 0.115 1
Ti15 Ti 0.302 0.302 0.400 1
Ti16 Ti 0.343 0.343 0.565 1
Ti17 Ti 0.356 0.356 0.969 1
Ti18 Ti 0.379 0.379 0.167 1
Ti19 Ti 0.434 0.434 0.333 1
Ti20 Ti 0.440 0.440 0.940 1
Ti21 Ti 0.447 0.447 0.746 1
Ti22 Ti 0.472 0.472 0.131 1
Ti23 Ti 0.479 0.479 0.591 1
Ti24 Ti 0.521 0.521 0.409 1
Ti25 Ti 0.528 0.528 0.869 1
Ti26 Ti 0.553 0.553 0.254 1
Ti27 Ti 0.560 0.560 0.060 1
Ti28 Ti 0.566 0.566 0.667 1
Ti29 Ti 0.621 0.621 0.833 1
Ti30 Ti 0.644 0.644 0.031 1
Ti31 Ti 0.657 0.657 0.435 1
Ti32 Ti 0.698 0.698 0.600 1
Ti33 Ti 0.710 0.710 0.885 1
Ti34 Ti 0.728 0.728 0.158 1
Ti35 Ti 0.739 0.739 0.365 1
Ti36 Ti 0.780 0.780 0.984 1
Ti37 Ti 0.782 0.782 0.516 1
Ti38 Ti 0.814 0.814 0.249 1
Ti39 Ti 0.819 0.819 0.702 1
Ti40 Ti 0.867 0.867 0.433 1
Ti41 Ti 0.896 0.896 0.835 1
Ti42 Ti 0.911 0.911 0.625 1
Ti43 Ti 0.913 0.913 0.050 1
Ti44 Ti 0.964 0.964 0.455 1
Ti45 Ti 0.994 0.994 0.294 1
Se1 Se 0.028 0.028 0.150 1
Se2 Se 0.070 0.070 0.790 1
Se3 Se 0.160 0.160 0.916 1
Se4 Se 0.174 0.174 0.138 1
Se5 Se 0.259 0.259 0.260 1
Se6 Se 0.362 0.362 0.315 1
Se7 Se 0.374 0.374 0.716 1
Se8 Se 0.413 0.413 0.503 1
Se9 Se 0.587 0.587 0.497 1
Se10 Se 0.626 0.626 0.284 1
Se11 Se 0.638 0.638 0.685 1
Se12 Se 0.741 0.741 0.740 1
Se13 Se 0.826 0.826 0.862 1
Se14 Se 0.840 0.840 0.084 1
Se15 Se 0.930 0.930 0.210 1
Se16 Se 0.972 0.972 0.850 1
```

Results
Calculated volume in Å³/atom: 16.56
Formation energy without anion corrections in eV per atom: -0.66
DOS(E_F) in states/eV per cell: 57.31
Total moment in μB per formula unit: 0.0


# 11
Computed, not measured: crystalline Ti19Se20 at its relaxed geometry at the GGA-PBE level of DFT.

CIF file:
```
data_Ti19Se20
_symmetry_space_group_name_H-M 'P 1'
_symmetry_Int_Tables_number 1
_cell_length_a 6.966
_cell_length_b 9.637
_cell_length_c 11.372
_cell_angle_alpha 80.66
_cell_angle_beta 81.17
_cell_angle_gamma 68.82
loop_
_symmetry_equiv_pos_as_xyz
'x,y,z'
loop_
_atom_site_label
_atom_site_type_symbol
_atom_site_fract_x
_atom_site_fract_y
_atom_site_fract_z
_atom_site_occupancy
Ti1 Ti 0.000 0.000 0.000 1
Ti2 Ti 0.000 0.500 0.000 1
Ti3 Ti 0.087 0.222 0.210 1
Ti4 Ti 0.090 0.711 0.213 1
Ti5 Ti 0.211 0.379 0.384 1
Ti6 Ti 0.215 0.882 0.383 1
Ti7 Ti 0.281 0.621 0.616 1
Ti8 Ti 0.289 0.117 0.617 1
Ti9 Ti 0.408 0.288 0.786 1
Ti10 Ti 0.409 0.784 0.797 1
Ti11 Ti 0.500 0.000 0.000 1
Ti12 Ti 0.591 0.216 0.203 1
Ti13 Ti 0.592 0.712 0.214 1
Ti14 Ti 0.711 0.883 0.383 1
Ti15 Ti 0.719 0.379 0.384 1
Ti16 Ti 0.785 0.118 0.617 1
Ti17 Ti 0.789 0.621 0.616 1
Ti18 Ti 0.910 0.289 0.787 1
Ti19 Ti 0.913 0.778 0.790 1
Se1 Se 0.053 0.007 0.770 1
Se2 Se 0.056 0.167 0.440 1
Se3 Se 0.144 0.398 0.625 1
Se4 Se 0.151 0.217 0.964 1
Se5 Se 0.253 0.429 0.158 1
Se6 Se 0.262 0.570 0.842 1
Se7 Se 0.350 0.783 0.035 1
Se8 Se 0.355 0.601 0.376 1
Se9 Se 0.444 0.830 0.562 1
Se10 Se 0.445 0.994 0.229 1
Se11 Se 0.555 0.006 0.771 1
Se12 Se 0.556 0.170 0.438 1
Se13 Se 0.645 0.399 0.624 1
Se14 Se 0.650 0.217 0.965 1
Se15 Se 0.738 0.430 0.158 1
Se16 Se 0.747 0.571 0.842 1
Se17 Se 0.849 0.783 0.036 1
Se18 Se 0.856 0.602 0.375 1
Se19 Se 0.944 0.833 0.560 1
Se20 Se 0.947 0.993 0.230 1
```

Results
Calculated volume in Å³/atom: 17.92
Formation energy without anion corrections in eV per atom: -1.10
DOS(E_F) in states/eV per cell: 27.78
Total moment in μB per formula unit: 1.1


# 12
Computed, not measured: crystalline TiSe at its relaxed geometry at the GGA-PBE level of DFT.

CIF file:
```
data_TiSe
_symmetry_space_group_name_H-M 'P 1'
_symmetry_Int_Tables_number 1
_cell_length_a 3.445
_cell_length_b 3.445
_cell_length_c 6.902
_cell_angle_alpha 90.00
_cell_angle_beta 90.00
_cell_angle_gamma 120.00
loop_
_symmetry_equiv_pos_as_xyz
'x,y,z'
loop_
_atom_site_label
_atom_site_type_symbol
_atom_site_fract_x
_atom_site_fract_y
_atom_site_fract_z
_atom_site_occupancy
Ti1 Ti 0.333 0.667 0.250 1
Ti2 Ti 0.667 0.333 0.750 1
Se1 Se 0.000 0.000 0.000 1
Se2 Se 0.000 0.000 0.500 1
```

Results
Calculated volume in Å³/atom: 17.73
Formation energy without anion corrections in eV per atom: -0.87
DOS(E_F) in states/eV per cell: 2.58
Total moment in μB per formula unit: 0.0